{"formula": "Tm3CoSn3Ir2", "functional": "PBE-GGA", "state": "optimized geometry", "magmom_total_mub_per_cell": 0.0, "e_tot_ev_per_atom": -6.341, "sg": "No. 189", "cell": [[7.508, 0.000, 0.000], [-3.754, 6.502, 0.000], [0.000, 0.000, 3.719]], "species": ["Tm", "Tm", "Tm", "Co", "Sn", "Sn", "Sn", "Ir", "Ir"], "fractional_positions": [[0.000, 0.595, 0.000], [0.405, 0.405, 0.000], [0.595, 0.000, 0.000], [0.000, 0.000, 0.000], [0.000, 0.255, 0.500], [0.255, 0.000, 0.500], [0.745, 0.745, 0.500], [0.333, 0.667, 0.500], [0.667, 0.333, 0.500]]}

{"formula": "HoGePt2", "functional": "PBE-GGA", "state": "optimized geometry", "magmom_total_mub_per_cell": 0.0, "e_tot_ev_per_atom": -6.244, "sg": "No. 31", "cell": [[4.158, 0.000, 0.000], [0.000, 6.462, 0.000], [0.000, 0.000, 5.642]], "species": ["Ho", "Ho", "Ge", "Ge", "Pt", "Pt", "Pt", "Pt"], "fractional_positions": [[0.000, 0.078, 0.000], [0.500, 0.922, 0.500], [0.000, 0.611, 0.756], [0.500, 0.389, 0.256], [0.000, 0.252, 0.481], [0.000, 0.666, 0.295], [0.500, 0.334, 0.795], [0.500, 0.748, 0.981]]}

{"formula": "Sm4DyAg5", "functional": "PBE-GGA", "state": "optimized geometry", "e_form_ev_per_atom": -0.30, "magmom_total_mub_per_cell": 0.0, "e_tot_ev_per_atom": -4.058, "sg": "No. 123", "cell": [[3.669, 0.000, 0.000], [0.000, 3.669, 0.000], [0.000, 0.000, 18.556]], "species": ["Sm", "Sm", "Sm", "Sm", "Dy", "Ag", "Ag", "Ag", "Ag", "Ag"], "fractional_positions": [[0.000, 0.000, 0.101], [0.000, 0.000, 0.303], [0.000, 0.000, 0.697], [0.000, 0.000, 0.899], [0.000, 0.000, 0.500], [0.500, 0.500, 0.000], [0.500, 0.500, 0.202], [0.500, 0.500, 0.406], [0.500, 0.500, 0.594], [0.500, 0.500, 0.798]]}

{"formula": "BAsPt", "functional": "PBE-GGA", "state": "optimized geometry", "magmom_total_mub_per_cell": 0.0, "e_tot_ev_per_atom": -5.255, "sg": "No. 216", "cell": [[0.000, 2.780, 2.780], [2.780, 0.000, 2.780], [2.780, 2.780, 0.000]], "species": ["B", "As", "Pt"], "fractional_positions": [[0.000, 0.000, 0.000], [0.750, 0.750, 0.750], [0.250, 0.250, 0.250]]}

{"formula": "DyTmHf", "functional": "PBE-GGA", "state": "optimized geometry", "e_form_ev_per_atom": 0.86, "magmom_total_mub_per_cell": 0.8, "relative_energy_mev_per_atom": 0.0, "e_tot_ev_per_atom": -5.487, "sg": "No. 216", "cell": [[0.000, 3.642, 3.642], [3.642, 0.000, 3.642], [3.642, 3.642, 0.000]], "species": ["Dy", "Tm", "Hf"], "fractional_positions": [[0.000, 0.000, 0.000], [0.500, 0.500, 0.500], [0.250, 0.250, 0.250]]}

{"formula": "NbZnNO", "functional": "PBE-GGA", "state": "optimized geometry", "magmom_total_mub_per_cell": 0.0, "relative_energy_mev_per_atom": 454.5, "e_tot_ev_per_atom": -6.729, "sg": "No. 129", "cell": [[3.196, 0.000, 0.000], [0.000, 3.196, 0.000], [0.000, 0.000, 8.551]], "species": ["Nb", "Nb", "Zn", "Zn", "N", "N", "O", "O"], "fractional_positions": [[0.250, 0.250, 0.164], [0.750, 0.750, 0.836], [0.250, 0.750, 0.500], [0.750, 0.250, 0.500], [0.250, 0.250, 0.751], [0.750, 0.750, 0.249], [0.250, 0.750, 0.000], [0.750, 0.250, 0.000]]}

{"formula": "TcOs2", "functional": "PBE-GGA", "state": "optimized geometry", "e_form_ev_per_atom": 0.60, "magmom_total_mub_per_cell": 0.0, "e_tot_ev_per_atom": -10.337, "sg": "No. 227", "cell": [[0.000, 3.584, 3.584], [3.584, 0.000, 3.584], [3.584, 3.584, 0.000]], "species": ["Tc", "Tc", "Os", "Os", "Os", "Os"], "fractional_positions": [[0.125, 0.125, 0.125], [0.875, 0.875, 0.875], [0.000, 0.500, 0.500], [0.500, 0.000, 0.500], [0.500, 0.500, 0.000], [0.500, 0.500, 0.500]]}

{"formula": "BeCoHgB", "functional": "PBE-GGA", "state": "optimized geometry", "magmom_total_mub_per_cell": 0.0, "relative_energy_mev_per_atom": 137.3, "e_tot_ev_per_atom": -3.532, "sg": "No. 216", "cell": [[0.000, 2.862, 2.862], [2.862, 0.000, 2.862], [2.862, 2.862, 0.000]], "species": ["Be", "Co", "Hg", "B"], "fractional_positions": [[0.000, 0.000, 0.000], [0.500, 0.500, 0.500], [0.750, 0.750, 0.750], [0.250, 0.250, 0.250]]}

{"formula": "SmTa2N4", "functional": "PBE-GGA", "state": "optimized geometry", "magmom_total_mub_per_cell": 0.0, "e_tot_ev_per_atom": -10.108, "sg": "No. 63", "cell": [[1.575, -5.124, 0.000], [1.575, 5.124, 0.000], [0.000, 0.000, 10.426]], "species": ["Sm", "Sm", "Ta", "Ta", "Ta", "Ta", "N", "N", "N", "N", "N", "N", "N", "N"], "fractional_positions": [[0.117, 0.883, 0.750], [0.883, 0.117, 0.250], [0.371, 0.629, 0.567], [0.371, 0.629, 0.933], [0.629, 0.371, 0.067], [0.629, 0.371, 0.433], [0.000, 0.000, 0.000], [0.000, 0.000, 0.500], [0.266, 0.734, 0.110], [0.266, 0.734, 0.390], [0.436, 0.564, 0.750], [0.564, 0.436, 0.250], [0.734, 0.266, 0.610], [0.734, 0.266, 0.890]]}

{"formula": "NaDyAuSe3", "functional": "PBE-GGA", "state": "optimized geometry", "magmom_total_mub_per_cell": 0.0, "e_tot_ev_per_atom": -4.307, "sg": "No. 63", "cell": [[1.996, -7.123, 0.000], [1.996, 7.123, 0.000], [0.000, 0.000, 10.556]], "species": ["Na", "Na", "Dy", "Dy", "Au", "Au", "Se", "Se", "Se", "Se", "Se", "Se"], "fractional_positions": [[0.231, 0.769, 0.750], [0.769, 0.231, 0.250], [0.000, 0.000, 0.000], [0.000, 0.000, 0.500], [0.472, 0.528, 0.250], [0.528, 0.472, 0.750], [0.093, 0.907, 0.250], [0.360, 0.640, 0.057], [0.360, 0.640, 0.443], [0.640, 0.360, 0.557], [0.640, 0.360, 0.943], [0.907, 0.093, 0.750]]}

{"formula": "Gd2Zr2O5", "functional": "PBE-GGA", "state": "optimized geometry", "magmom_total_mub_per_cell": 0.0, "relative_energy_mev_per_atom": 0.0, "e_tot_ev_per_atom": -8.351, "sg": "No. 123", "cell": [[3.628, 0.000, 0.000], [0.000, 3.628, 0.000], [0.000, 0.000, 10.110]], "species": ["Gd", "Gd", "Zr", "Zr", "O", "O", "O", "O", "O"], "fractional_positions": [[0.000, 0.000, 0.249], [0.000, 0.000, 0.751], [0.500, 0.500, 0.000], [0.500, 0.500, 0.500], [0.000, 0.000, 0.500], [0.000, 0.500, 0.126], [0.000, 0.500, 0.874], [0.500, 0.000, 0.126], [0.500, 0.000, 0.874]]}

{"formula": "Sm3SeN2", "functional": "PBE-GGA", "state": "optimized geometry", "magmom_total_mub_per_cell": 0.0, "e_tot_ev_per_atom": -7.323, "sg": "No. 164", "cell": [[3.694, 0.000, 0.000], [-1.847, 3.199, 0.000], [0.000, 0.000, 9.599]], "species": ["Sm", "Sm", "Sm", "Se", "N", "N"], "fractional_positions": [[0.000, 0.000, 0.000], [0.333, 0.667, 0.713], [0.667, 0.333, 0.287], [0.000, 0.000, 0.500], [0.333, 0.667, 0.157], [0.667, 0.333, 0.843]]}